Computed, not measured: an optimized crystal structure of Ba2IrOs at the GGA-PBE level of DFT.

Structure (CIF):
```
data_Ba2IrOs
_chemical_formula_sum 'Ba4 Ir2 Os2'
_cell_length_a 7.082
_cell_length_b 8.931
_cell_length_c 3.332
_cell_angle_alpha 90.00
_cell_angle_beta 90.00
_cell_angle_gamma 90.00
_space_group_name_H-M_alt 'C m m m'
_space_group_IT_number 65
_space_group_name_Hall '-C 2 2'
loop_
_atom_site_label
_atom_site_fract_x
_atom_site_fract_y
_atom_site_fract_z
Ba1 0.250 0.250 0.000
Ir1 0.000 0.000 0.500
Os1 0.000 0.500 0.500
```

Values from the calculation:
* total energy: -5.010 eV per atom
* crystal system: orthorhombic
* ΔE_f: 0.975 eV per atom
* energy above the most stable polymorph in this dataset: 89.0 kJ/mol of atoms
* DOS(E_F): 5.58 states/eV/f.u.